No. 1
# LiZn2GeSe4 | Alexandria | PBE | relaxed
data_LiZn2GeSe4
_cell_length_a 5.8044
_cell_length_b 5.8044
_cell_length_c 11.7110
_cell_angle_alpha 90.00
_cell_angle_beta 90.00
_cell_angle_gamma 90.00
_space_group_name_H-M_alt 'I -4 2 m'
_space_group_IT_number 121
_space_group_name_Hall 'I -4 2'
loop_
_atom_site_label
_atom_site_type_symbol
_atom_site_fract_x
_atom_site_fract_y
_atom_site_fract_z
Li1 Li 0.0000 0.0000 0.0000
Zn1 Zn 0.0000 0.5000 0.2500
Ge1 Ge 0.0000 0.0000 0.5000
Se1 Se 0.2453 0.2453 0.8714
# crystal system	tetragonal
# Fermi-level density of states	8.6	states/eV/cell
# magnetic moment	0.0	μB/cell
# calculated total energy	-3.4877	eV per atom

=====

No. 2
# Sm4Bi2TeP | Alexandria | PBE | relaxed
data_Sm4Bi2TeP
_cell_length_a 7.6573
_cell_length_b 4.3948
_cell_length_c 7.6675
_cell_angle_alpha 90.00
_cell_angle_beta 109.16
_cell_angle_gamma 90.00
_space_group_name_H-M_alt 'P 1 2/m 1'
_space_group_IT_number 10
loop_
_space_group_symop_operation_xyz
'x,y,z'
'-x,-y,-z'
'-x,y,-z'
'x,-y,z'
loop_
_atom_site_label
_atom_site_type_symbol
_atom_site_fract_x
_atom_site_fract_y
_atom_site_fract_z
Sm1 Sm 0.2285 0.0000 0.2281
Sm2 Sm 0.2376 0.5000 0.7639
Bi1 Bi 0.5000 0.0000 0.0000
Bi2 Bi 0.5000 0.5000 0.5000
Te1 Te 0.0000 0.0000 0.5000
P1 P 0.0000 0.5000 0.0000
# crystal system	monoclinic
# Fermi-level density of states	2.0	states/eV/cell
# magnetic moment	0.0	μB/cell
# calculated total energy	-5.5915	eV per atom

=====

No. 3
# TbPrDy2Er4 | Alexandria | PBE | relaxed
data_TbPrDy2Er4
_cell_length_a 13.5484
_cell_length_b 13.2385
_cell_length_c 6.7772
_cell_angle_alpha 90.00
_cell_angle_beta 120.01
_cell_angle_gamma 90.00
_space_group_name_H-M_alt 'C 1 2/c 1'
_space_group_IT_number 15
loop_
_space_group_symop_operation_xyz
'x,y,z'
'-x,-y,-z'
'-x,y,-z+1/2'
'x,-y,z+1/2'
'x+1/2,y+1/2,z'
'-x+1/2,-y+1/2,-z'
'-x+1/2,y+1/2,-z+1/2'
'x+1/2,-y+1/2,z+1/2'
loop_
_atom_site_label
_atom_site_type_symbol
_atom_site_fract_x
_atom_site_fract_y
_atom_site_fract_z
Tb1 Tb 0.2500 0.2500 0.0000
Pr1 Pr 0.0000 0.0000 0.0000
Dy1 Dy 0.0000 0.5000 0.0000
Dy2 Dy 0.2500 0.2500 0.5000
Er1 Er 0.0000 0.2528 0.0001
Er2 Er 0.2467 0.4996 0.4950
# crystal system	monoclinic
# Fermi-level density of states	70.2	states/eV/cell
# magnetic moment	11.7	μB/cell
# energy relative to the elements	0.4374	eV per atom

=====

No. 4
# ZnGaIr2 | Alexandria | PBE | relaxed
data_ZnGaIr2
_cell_length_a 6.0827
_cell_length_b 6.0827
_cell_length_c 6.0827
_cell_angle_alpha 90.00
_cell_angle_beta 90.00
_cell_angle_gamma 90.00
_space_group_name_H-M_alt 'F m -3 m'
_space_group_IT_number 225
_space_group_name_Hall '-F 4 2 3'
loop_
_atom_site_label
_atom_site_type_symbol
_atom_site_fract_x
_atom_site_fract_y
_atom_site_fract_z
Zn1 Zn 0.0000 0.0000 0.0000
Ga1 Ga 0.0000 0.0000 0.5000
Ir1 Ir 0.2500 0.2500 0.2500
# crystal system	cubic
# Fermi-level density of states	4.6	states/eV/cell
# magnetic moment	0.0	μB/cell
# energy relative to the elements	-0.3361	eV per atom

=====

No. 5
# Sm2InSb4 | Alexandria | PBE | relaxed
data_Sm2InSb4
_cell_length_a 4.3535
_cell_length_b 4.3535
_cell_length_c 11.0024
_cell_angle_alpha 90.00
_cell_angle_beta 90.00
_cell_angle_gamma 90.00
_space_group_name_H-M_alt 'P -4 m 2'
_space_group_IT_number 115
loop_
_space_group_symop_operation_xyz
'x,y,z'
'y,-x,-z'
'-x,-y,z'
'-y,x,-z'
'-x,y,z'
'-y,-x,-z'
'x,-y,z'
'y,x,-z'
loop_
_atom_site_label
_atom_site_type_symbol
_atom_site_fract_x
_atom_site_fract_y
_atom_site_fract_z
Sm1 Sm 0.0000 0.5000 0.2226
In1 In 0.0000 0.0000 0.5000
Sb1 Sb 0.0000 0.0000 0.0000
Sb2 Sb 0.0000 0.5000 0.6799
Sb3 Sb 0.5000 0.5000 0.0000
# crystal system	tetragonal
# Fermi-level density of states	2.3	states/eV/cell
# magnetic moment	0.0	μB/cell
# calculated total energy	-4.7596	eV per atom

=====

No. 6
# ZrTaTlO6 | Alexandria | PBE | relaxed
data_ZrTaTlO6
_cell_length_a 4.9660
_cell_length_b 4.9660
_cell_length_c 9.8290
_cell_angle_alpha 90.00
_cell_angle_beta 90.00
_cell_angle_gamma 90.00
_space_group_name_H-M_alt 'P 42 n m'
_space_group_IT_number 102
loop_
_space_group_symop_operation_xyz
'x,y,z'
'-y+1/2,x+1/2,z+1/2'
'-x,-y,z'
'y+1/2,-x+1/2,z+1/2'
'-x+1/2,y+1/2,z+1/2'
'y,x,z'
'x+1/2,-y+1/2,z+1/2'
'-y,-x,z'
loop_
_atom_site_label
_atom_site_type_symbol
_atom_site_fract_x
_atom_site_fract_y
_atom_site_fract_z
Zr1 Zr 0.0000 0.0000 0.0000
Ta1 Ta 0.0000 0.0000 0.6646
Tl1 Tl 0.0000 0.0000 0.3306
O1 O 0.1806 0.1806 0.8236
O2 O 0.1994 0.1994 0.5182
O3 O 0.2142 0.2142 0.1523
# crystal system	tetragonal
# Fermi-level density of states	0.0	states/eV/cell
# magnetic moment	0.0	μB/cell
# calculated total energy	-8.1987	eV per atom

=====

No. 7
# Al3Zn2 | Alexandria | PBE | relaxed
data_Al3Zn2
_cell_length_a 14.3985
_cell_length_b 2.8245
_cell_length_c 8.4441
_cell_angle_alpha 90.00
_cell_angle_beta 108.04
_cell_angle_gamma 90.00
_space_group_name_H-M_alt 'C 1 2/m 1'
_space_group_IT_number 12
loop_
_space_group_symop_operation_xyz
'x,y,z'
'-x,-y,-z'
'-x,y,-z'
'x,-y,z'
'x+1/2,y+1/2,z'
'-x+1/2,-y+1/2,-z'
'-x+1/2,y+1/2,-z'
'x+1/2,-y+1/2,z'
loop_
_atom_site_label
_atom_site_type_symbol
_atom_site_fract_x
_atom_site_fract_y
_atom_site_fract_z
Al1 Al 0.0225 0.0000 0.2639
Al2 Al 0.1007 0.5000 0.0392
Al3 Al 0.1023 0.5000 0.5748
Zn1 Zn 0.1943 0.0000 0.8617
Zn2 Zn 0.2125 0.5000 0.3602
# crystal system	monoclinic
# Fermi-level density of states	6.9	states/eV/cell
# magnetic moment	0.0	μB/cell
# energy relative to the elements	0.0437	eV per atom

=====

No. 8
# Tl4Ge2Au5 | Alexandria | PBE | relaxed
data_Tl4Ge2Au5
_cell_length_a 9.2803
_cell_length_b 19.5475
_cell_length_c 5.5047
_cell_angle_alpha 90.00
_cell_angle_beta 90.00
_cell_angle_gamma 90.00
_space_group_name_H-M_alt 'I b a m'
_space_group_IT_number 72
_space_group_name_Hall '-I 2 2c'
loop_
_atom_site_label
_atom_site_type_symbol
_atom_site_fract_x
_atom_site_fract_y
_atom_site_fract_z
Tl1 Tl 0.1171 0.1432 0.0000
Tl2 Tl 0.2403 0.4358 0.0000
Ge1 Ge 0.0000 0.3034 0.2500
Au1 Au 0.0000 0.0000 0.2500
Au2 Au 0.0752 0.4272 0.5000
Au3 Au 0.2163 0.2222 0.5000
# crystal system	orthorhombic
# Fermi-level density of states	19.7	states/eV/cell
# magnetic moment	0.0	μB/cell
# energy relative to the elements	0.0457	eV per atom

=====

No. 9
# YPuNp2N4 | Alexandria | PBE | relaxed
data_YPuNp2N4
_cell_length_a 5.9801
_cell_length_b 3.4530
_cell_length_c 6.0060
_cell_angle_alpha 90.00
_cell_angle_beta 109.44
_cell_angle_gamma 90.00
_space_group_name_H-M_alt 'P 1 2/m 1'
_space_group_IT_number 10
loop_
_space_group_symop_operation_xyz
'x,y,z'
'-x,-y,-z'
'-x,y,-z'
'x,-y,z'
loop_
_atom_site_label
_atom_site_type_symbol
_atom_site_fract_x
_atom_site_fract_y
_atom_site_fract_z
Y1 Y 0.0000 0.0000 0.0000
Pu1 Pu 0.5000 0.5000 0.0000
Np1 Np 0.0000 0.5000 0.5000
Np2 Np 0.5000 0.0000 0.5000
N1 N 0.2430 0.0000 0.7365
N2 N 0.2529 0.5000 0.2655
# crystal system	monoclinic
# Fermi-level density of states	17.3	states/eV/cell
# magnetic moment	0.7	μB/cell
# calculated total energy	-11.2442	eV per atom

=====

No. 10
# YFe2Ni2 | Alexandria | PBE | relaxed
data_YFe2Ni2
_cell_length_a 7.2527
_cell_length_b 7.2527
_cell_length_c 2.7062
_cell_angle_alpha 90.00
_cell_angle_beta 90.00
_cell_angle_gamma 90.00
_space_group_name_H-M_alt 'P 4/m b m'
_space_group_IT_number 127
_space_group_name_Hall '-P 4 2ab'
loop_
_atom_site_label
_atom_site_type_symbol
_atom_site_fract_x
_atom_site_fract_y
_atom_site_fract_z
Y1 Y 0.0000 0.0000 0.0000
Fe1 Fe 0.1155 0.3845 0.0000
Ni1 Ni 0.1743 0.6743 0.5000
# crystal system	tetragonal
# Fermi-level density of states	11.3	states/eV/cell
# magnetic moment	11.8	μB/cell
# energy relative to the elements	0.0770	eV per atom

=====

No. 11
# Zr2ScGe2 | Alexandria | PBE | relaxed
data_Zr2ScGe2
_cell_length_a 7.2168
_cell_length_b 7.2168
_cell_length_c 3.7890
_cell_angle_alpha 90.00
_cell_angle_beta 90.00
_cell_angle_gamma 90.00
_space_group_name_H-M_alt 'P 4/m b m'
_space_group_IT_number 127
_space_group_name_Hall '-P 4 2ab'
loop_
_atom_site_label
_atom_site_type_symbol
_atom_site_fract_x
_atom_site_fract_y
_atom_site_fract_z
Zr1 Zr 0.1673 0.3327 0.0000
Sc1 Sc 0.0000 0.0000 0.5000
Ge1 Ge 0.1317 0.6317 0.5000
# crystal system	tetragonal
# Fermi-level density of states	9.6	states/eV/cell
# magnetic moment	0.9	μB/cell
# energy relative to the elements	-0.7969	eV per atom

=====

No. 12
# FeTcW2 | Alexandria | PBE | relaxed
data_FeTcW2
_cell_length_a 5.3766
_cell_length_b 8.7241
_cell_length_c 2.6832
_cell_angle_alpha 90.00
_cell_angle_beta 109.17
_cell_angle_gamma 90.00
_space_group_name_H-M_alt 'C 1 2/m 1'
_space_group_IT_number 12
loop_
_space_group_symop_operation_xyz
'x,y,z'
'-x,-y,-z'
'-x,y,-z'
'x,-y,z'
'x+1/2,y+1/2,z'
'-x+1/2,-y+1/2,-z'
'-x+1/2,y+1/2,-z'
'x+1/2,-y+1/2,z'
loop_
_atom_site_label
_atom_site_type_symbol
_atom_site_fract_x
_atom_site_fract_y
_atom_site_fract_z
Fe1 Fe 0.0000 0.0000 0.0000
Tc1 Tc 0.0000 0.5000 0.0000
W1 W 0.2500 0.2500 0.5000
# crystal system	monoclinic
# Fermi-level density of states	6.1	states/eV/cell
# magnetic moment	5.2	μB/cell
# energy relative to the elements	0.1264	eV per atom

=====

No. 13
# AlPtI2O | Alexandria | PBE | relaxed
data_AlPtI2O
_cell_length_a 5.6513
_cell_length_b 5.6513
_cell_length_c 3.3822
_cell_angle_alpha 90.00
_cell_angle_beta 90.00
_cell_angle_gamma 90.00
_space_group_name_H-M_alt 'P 4/m m m'
_space_group_IT_number 123
_space_group_name_Hall '-P 4 2'
loop_
_atom_site_label
_atom_site_type_symbol
_atom_site_fract_x
_atom_site_fract_y
_atom_site_fract_z
Al1 Al 0.0000 0.0000 0.0000
Pt1 Pt 0.5000 0.5000 0.5000
I1 I 0.0000 0.5000 0.0000
O1 O 0.0000 0.0000 0.5000
# crystal system	tetragonal
# Fermi-level density of states	4.0	states/eV/cell
# magnetic moment	0.0	μB/cell
# calculated total energy	-3.9432	eV per atom

=====

No. 14
# BaCaMg | Alexandria | PBE | relaxed
data_BaCaMg
_cell_length_a 5.3038
_cell_length_b 5.3038
_cell_length_c 9.5133
_cell_angle_alpha 90.00
_cell_angle_beta 90.00
_cell_angle_gamma 90.00
_space_group_name_H-M_alt 'P 4/n m m'
_space_group_IT_number 129
loop_
_space_group_symop_operation_xyz
'x,y,z'
'-x,-y,-z'
'-y+1/2,x,z'
'y+1/2,-x,-z'
'-x+1/2,-y+1/2,z'
'x+1/2,y+1/2,-z'
'y,-x+1/2,z'
'-y,x+1/2,-z'
'x+1/2,-y,-z'
'-x+1/2,y,z'
'-y,-x,-z'
'y,x,z'
'-x,y+1/2,-z'
'x,-y+1/2,z'
'y+1/2,x+1/2,-z'
'-y+1/2,-x+1/2,z'
loop_
_atom_site_label
_atom_site_type_symbol
_atom_site_fract_x
_atom_site_fract_y
_atom_site_fract_z
Ba1 Ba 0.2500 0.2500 0.1468
Ca1 Ca 0.2500 0.7500 0.5000
Mg1 Mg 0.2500 0.2500 0.7377
# crystal system	tetragonal
# Fermi-level density of states	8.9	states/eV/cell
# magnetic moment	0.0	μB/cell
# energy relative to the elements	0.0039	eV per atom

=====

No. 15
# CaReN3 | Alexandria | PBE | relaxed
data_CaReN3
_cell_length_a 7.5076
_cell_length_b 6.8960
_cell_length_c 6.7314
_cell_angle_alpha 90.00
_cell_angle_beta 116.18
_cell_angle_gamma 90.00
_space_group_name_H-M_alt 'P 1 21/c 1'
_space_group_IT_number 14
loop_
_space_group_symop_operation_xyz
'x,y,z'
'-x,-y,-z'
'-x,y+1/2,-z+1/2'
'x,-y+1/2,z+1/2'
loop_
_atom_site_label
_atom_site_type_symbol
_atom_site_fract_x
_atom_site_fract_y
_atom_site_fract_z
Ca1 Ca 0.1216 0.2400 0.0862
Re1 Re 0.2996 0.6186 0.9160
N1 N 0.0350 0.5723 0.7492
N2 N 0.3122 0.7468 0.1575
N3 N 0.3692 0.1377 0.4733
# crystal system	monoclinic
# Fermi-level density of states	0.0	states/eV/cell
# magnetic moment	0.0	μB/cell
# calculated total energy	-8.2163	eV per atom

=====

No. 16
# CePm12Sm5 | Alexandria | PBE | relaxed
data_CePm12Sm5
_cell_length_a 12.1191
_cell_length_b 17.1266
_cell_length_c 5.9040
_cell_angle_alpha 90.00
_cell_angle_beta 90.44
_cell_angle_gamma 90.00
_space_group_name_H-M_alt 'C 1 2/m 1'
_space_group_IT_number 12
loop_
_space_group_symop_operation_xyz
'x,y,z'
'-x,-y,-z'
'-x,y,-z'
'x,-y,z'
'x+1/2,y+1/2,z'
'-x+1/2,-y+1/2,-z'
'-x+1/2,y+1/2,-z'
'x+1/2,-y+1/2,z'
loop_
_atom_site_label
_atom_site_type_symbol
_atom_site_fract_x
_atom_site_fract_y
_atom_site_fract_z
Ce1 Ce 0.0000 0.0000 0.0000
Pm1 Pm 0.1514 0.1764 0.0099
Pm2 Pm 0.1523 0.3211 0.4928
Pm3 Pm 0.1983 0.0000 0.4311
Pm4 Pm 0.1982 0.5000 0.0655
Sm1 Sm 0.0000 0.1373 0.5000
Sm2 Sm 0.0000 0.3609 0.0000
Sm3 Sm 0.0000 0.5000 0.5000
# crystal system	monoclinic
# Fermi-level density of states	60.1	states/eV/cell
# magnetic moment	1.6	μB/cell
# energy relative to the elements	0.0946	eV per atom

=====

No. 17
# Tb4OsCl5 | Alexandria | PBE | relaxed
data_Tb4OsCl5
_cell_length_a 18.0683
_cell_length_b 3.9425
_cell_length_c 8.4808
_cell_angle_alpha 90.00
_cell_angle_beta 104.31
_cell_angle_gamma 90.00
_space_group_name_H-M_alt 'C 1 2/m 1'
_space_group_IT_number 12
loop_
_space_group_symop_operation_xyz
'x,y,z'
'-x,-y,-z'
'-x,y,-z'
'x,-y,z'
'x+1/2,y+1/2,z'
'-x+1/2,-y+1/2,-z'
'-x+1/2,y+1/2,-z'
'x+1/2,-y+1/2,z'
loop_
_atom_site_label
_atom_site_type_symbol
_atom_site_fract_x
_atom_site_fract_y
_atom_site_fract_z
Tb1 Tb 0.0038 0.0000 0.2284
Tb2 Tb 0.1511 0.5000 0.0846
Os1 Os 0.0000 0.5000 0.0000
Cl1 Cl 0.0000 0.5000 0.5000
Cl2 Cl 0.1701 0.0000 0.3206
Cl3 Cl 0.1759 0.0000 0.8632
# crystal system	monoclinic
# Fermi-level density of states	13.0	states/eV/cell
# magnetic moment	0.7	μB/cell
# calculated total energy	-5.4583	eV per atom

=====

No. 18
# CaPt2Cl | Alexandria | PBE | relaxed
data_CaPt2Cl
_cell_length_a 3.7751
_cell_length_b 3.7751
_cell_length_c 23.5293
_cell_angle_alpha 90.00
_cell_angle_beta 90.00
_cell_angle_gamma 90.00
_space_group_name_H-M_alt 'I -4 2 d'
_space_group_IT_number 122
_space_group_name_Hall 'I -4 2bw'
loop_
_atom_site_label
_atom_site_type_symbol
_atom_site_fract_x
_atom_site_fract_y
_atom_site_fract_z
Ca1 Ca 0.0000 0.0000 0.0000
Pt1 Pt 0.2451 0.2500 0.1250
Cl1 Cl 0.0000 0.0000 0.5000
# crystal system	tetragonal
# Fermi-level density of states	12.3	states/eV/cell
# magnetic moment	0.0	μB/cell
# calculated total energy	-4.6642	eV per atom